P:
DFT (PBE) results for Cu2Pb2Au after structural relaxation.

- calculated volume (Å³/atom) = 21.3
- crystal system = tetragonal
- space-group type = No. 139

Lattice parameters (Å, degrees): 9.1613 9.1613 9.1613 158.15 158.15 31.09
Closest atoms and distances in Å follow each position.
Sites, in units of the cell vectors:
Cu (0.2500, 0.7500, 0.5000)  4 Cu 2.46
Cu (0.7500, 0.2500, 0.5000)  4 Cu 2.46
Pb (0.1106, 0.1106, 0.0000)  4 Cu 3.01, 4 Au 3.14
Pb (0.8894, 0.8894, 0.0000)  4 Cu 3.01, 4 Au 3.14
Au (0.5000, 0.5000, 0.0000)  8 Pb 3.14, 4 Au 3.47

Q:
DFT (PBE) results for Cu2Pb2Au after structural relaxation.

- calculated volume (Å³/atom) = 20.4
- crystal system = tetragonal
- space-group type = No. 127

Lattice parameters (Å, degrees): 7.0209 7.0209 4.1413 90.00 90.00 90.00
Closest atoms and distances in Å follow each position.
Sites, in units of the cell vectors:
Cu (0.1283, 0.3717, 0.0000)  1 Cu 2.55, 2 Au 2.76, 2 Pb 2.85
Cu (0.3717, 0.8717, 0.0000)  1 Cu 2.55, 2 Au 2.76, 2 Pb 2.85
Cu (0.6283, 0.1283, 0.0000)  1 Cu 2.55, 2 Au 2.76, 2 Pb 2.85
Cu (0.8717, 0.6283, 0.0000)  1 Cu 2.55, 2 Au 2.76, 2 Pb 2.85
Pb (0.1744, 0.6744, 0.5000)  6 Cu 2.85-2.98
Pb (0.3256, 0.1744, 0.5000)  6 Cu 2.85-2.98
Pb (0.6744, 0.8256, 0.5000)  6 Cu 2.85-2.98
Pb (0.8256, 0.3256, 0.5000)  6 Cu 2.85-2.98
Au (0.0000, 0.0000, 0.0000)  4 Cu 2.76
Au (0.5000, 0.5000, 0.0000)  4 Cu 2.76

R:
DFT (PBE) results for Cu2Pb2Au after structural relaxation.

- calculated volume (Å³/atom) = 21.6
- crystal system = tetragonal
- space-group type = No. 127

Lattice parameters (Å, degrees): 8.0169 8.0169 3.3624 90.00 90.00 90.00
Closest atoms and distances in Å follow each position.
Sites, in units of the cell vectors:
Cu (0.1089, 0.3911, 0.0000)  1 Cu 2.47
Cu (0.3911, 0.8911, 0.0000)  1 Cu 2.47
Cu (0.6089, 0.1089, 0.0000)  1 Cu 2.47
Cu (0.8911, 0.6089, 0.0000)  1 Cu 2.47
Pb (0.1846, 0.6846, 0.5000)  6 Cu 2.88-2.95, 2 Au 2.93
Pb (0.3154, 0.1846, 0.5000)  6 Cu 2.88-2.95, 2 Au 2.93
Pb (0.6846, 0.8154, 0.5000)  6 Cu 2.88-2.95, 2 Au 2.93
Pb (0.8154, 0.3154, 0.5000)  6 Cu 2.88-2.95, 2 Au 2.93
Au (0.0000, 0.0000, 0.5000)  4 Pb 2.93
Au (0.5000, 0.5000, 0.5000)  4 Pb 2.93

Which structure is most stable? Q, by 0.080 eV/atom over the runner-up.

P:
DFT (PBE) results for CuPbAu3 after structural relaxation.

- calculated volume (Å³/atom) = 23.0
- crystal system = cubic
- space-group type = No. 221

Lattice parameters (Å, degrees): 4.8622 4.8622 4.8622 90.00 90.00 90.00
Closest atoms and distances in Å follow each position.
Sites, in units of the cell vectors:
Cu (0.0000, 0.0000, 0.0000)  6 Au 2.43
Pb (0.5000, 0.5000, 0.5000)  12 Au 3.44
Au (0.0000, 0.0000, 0.5000)  2 Cu 2.43
Au (0.0000, 0.5000, 0.0000)  2 Cu 2.43
Au (0.5000, 0.0000, 0.0000)  2 Cu 2.43

Q:
DFT (PBE) results for CuPbAu3 after structural relaxation.

- calculated volume (Å³/atom) = 30.0
- crystal system = cubic
- space-group type = No. 221

Lattice parameters (Å, degrees): 5.3161 5.3161 5.3161 90.00 90.00 90.00
Closest atoms and distances in Å follow each position.
Sites, in units of the cell vectors:
Cu (0.0000, 0.0000, 0.0000)  12 Au 3.76
Pb (0.5000, 0.5000, 0.5000)  6 Au 2.66
Au (0.0000, 0.5000, 0.5000)  2 Pb 2.66
Au (0.5000, 0.0000, 0.5000)  2 Pb 2.66
Au (0.5000, 0.5000, 0.0000)  2 Pb 2.66

R:
DFT (PBE) results for CuPbAu3 after structural relaxation.

- calculated volume (Å³/atom) = 20.6
- crystal system = hexagonal
- space-group type = No. 194

Lattice parameters (Å, degrees): 6.6465 6.6465 5.3932 90.00 90.00 120.00
Closest atoms and distances in Å follow each position.
Sites, in units of the cell vectors:
Cu (0.0000, 0.0000, 0.0000)  6 Au 2.58, 2 Cu 2.70
Cu (0.0000, 0.0000, 0.5000)  6 Au 2.58, 2 Cu 2.70
Pb (0.3333, 0.6667, 0.2500)  12 Au 3.16-3.33
Pb (0.6667, 0.3333, 0.7500)  12 Au 3.16-3.33
Au (0.1909, 0.3818, 0.7500)  2 Cu 2.58, 2 Au 2.84
Au (0.1909, 0.8091, 0.7500)  2 Cu 2.58, 2 Au 2.84
Au (0.3818, 0.1909, 0.2500)  2 Cu 2.58, 2 Au 2.84
Au (0.6182, 0.8091, 0.7500)  2 Cu 2.58, 2 Au 2.84
Au (0.8091, 0.1909, 0.2500)  2 Cu 2.58, 2 Au 2.84
Au (0.8091, 0.6182, 0.2500)  2 Cu 2.58, 2 Au 2.84

Which structure is most stable? R, by 0.226 eV/atom over the runner-up.

P:
DFT (PBE) results for Cu2Pd2Au after structural relaxation.

- calculated volume (Å³/atom) = 16.0
- crystal system = tetragonal
- space-group type = No. 139

Lattice parameters (Å, degrees): 6.3887 6.3887 6.3887 146.28 146.28 48.44
Closest atoms and distances in Å follow each position.
Sites, in units of the cell vectors:
Cu (0.0982, 0.0982, 0.0000)  1 Cu 2.29, 4 Pd 2.56
Cu (0.9018, 0.9018, 0.0000)  1 Cu 2.29, 4 Pd 2.56
Pd (0.2500, 0.7500, 0.5000)  4 Cu 2.56, 4 Pd 2.62
Pd (0.7500, 0.2500, 0.5000)  4 Cu 2.56, 4 Pd 2.62
Au (0.5000, 0.5000, 0.0000)  8 Cu 2.86

Q:
DFT (PBE) results for Cu2Pd2Au after structural relaxation.

- calculated volume (Å³/atom) = 14.9
- crystal system = tetragonal
- space-group type = No. 127

Lattice parameters (Å, degrees): 7.1318 7.1318 2.9330 90.00 90.00 90.00
Closest atoms and distances in Å follow each position.
Sites, in units of the cell vectors:
Cu (0.1258, 0.3742, 0.0000)  6 Pd 2.53-2.59, 1 Cu 2.54, 2 Au 2.82
Cu (0.3742, 0.8742, 0.0000)  6 Pd 2.53-2.59, 1 Cu 2.54, 2 Au 2.82
Cu (0.6258, 0.1258, 0.0000)  6 Pd 2.53-2.59, 1 Cu 2.54, 2 Au 2.82
Cu (0.8742, 0.6258, 0.0000)  6 Pd 2.53-2.59, 1 Cu 2.54, 2 Au 2.82
Pd (0.1697, 0.6697, 0.5000)  6 Cu 2.53-2.59
Pd (0.3303, 0.1697, 0.5000)  6 Cu 2.53-2.59
Pd (0.6697, 0.8303, 0.5000)  6 Cu 2.53-2.59
Pd (0.8303, 0.3303, 0.5000)  6 Cu 2.53-2.59
Au (0.0000, 0.0000, 0.0000)  4 Cu 2.82, 2 Au 2.93, 8 Pd 3.03
Au (0.5000, 0.5000, 0.0000)  4 Cu 2.82, 2 Au 2.93, 8 Pd 3.03

Which structure is most stable? Q, by 0.234 eV/atom over the runner-up.

P:
DFT (PBE) results for Cu2Pd2Au after structural relaxation.

- calculated volume (Å³/atom) = 15.2
- crystal system = tetragonal
- space-group type = No. 127

Lattice parameters (Å, degrees): 7.2948 7.2948 2.8545 90.00 90.00 90.00
Closest atoms and distances in Å follow each position.
Sites, in units of the cell vectors:
Cu (0.1611, 0.3389, 0.0000)  6 Pd 2.54-2.60
Cu (0.3389, 0.8389, 0.0000)  6 Pd 2.54-2.60
Cu (0.6611, 0.1611, 0.0000)  6 Pd 2.54-2.60
Cu (0.8389, 0.6611, 0.0000)  6 Pd 2.54-2.60
Pd (0.1354, 0.6354, 0.5000)  6 Cu 2.54-2.60, 1 Pd 2.79, 2 Au 2.84
Pd (0.3646, 0.1354, 0.5000)  6 Cu 2.54-2.60, 1 Pd 2.79, 2 Au 2.84
Pd (0.6354, 0.8646, 0.5000)  6 Cu 2.54-2.60, 1 Pd 2.79, 2 Au 2.84
Pd (0.8646, 0.3646, 0.5000)  6 Cu 2.54-2.60, 1 Pd 2.79, 2 Au 2.84
Au (0.0000, 0.0000, 0.5000)  4 Pd 2.84, 2 Au 2.85, 8 Cu 3.09
Au (0.5000, 0.5000, 0.5000)  4 Pd 2.84, 2 Au 2.85, 8 Cu 3.09

Q:
DFT (PBE) results for Cu2Pd2Au after structural relaxation.

- calculated volume (Å³/atom) = 15.8
- crystal system = tetragonal
- space-group type = No. 139

Lattice parameters (Å, degrees): 7.1955 7.1955 7.1955 152.52 152.52 39.25
Closest atoms and distances in Å follow each position.
Sites, in units of the cell vectors:
Cu (0.2500, 0.7500, 0.5000)  4 Cu 2.42, 4 Pd 2.60
Cu (0.7500, 0.2500, 0.5000)  4 Cu 2.42, 4 Pd 2.60
Pd (0.1059, 0.1059, 0.0000)  4 Cu 2.60, 4 Au 2.81, 1 Pd 2.87
Pd (0.8941, 0.8941, 0.0000)  4 Cu 2.60, 4 Au 2.81, 1 Pd 2.87
Au (0.5000, 0.5000, 0.0000)  8 Pd 2.81

Which structure is most stable? P, by 0.127 eV/atom over the runner-up.

P:
DFT (PBE) results for Cu7PdAu3 after structural relaxation.

- calculated volume (Å³/atom) = 15.1
- crystal system = orthorhombic
- space-group type = No. 63

Lattice parameters (Å, degrees): 10.0713 10.0713 12.1165 90.00 90.00 164.31
Closest atoms and distances in Å follow each position.
Sites, in units of the cell vectors:
Cu (0.0318, 0.9682, 0.5841)  4 Cu 2.40-2.57, 2 Pd 2.64
Cu (0.0318, 0.9682, 0.9159)  4 Cu 2.40-2.57, 2 Pd 2.64
Cu (0.0929, 0.9071, 0.1025)  5 Cu 2.50-2.75, 2 Pd 2.69, 4 Au 2.75-2.77
Cu (0.0929, 0.9071, 0.3975)  5 Cu 2.50-2.75, 2 Pd 2.69, 4 Au 2.75-2.77
Cu (0.1049, 0.8951, 0.7500)  4 Cu 2.48-2.75, 4 Au 2.68
Cu (0.2214, 0.7786, 0.0787)  5 Cu 2.58-2.75, 5 Au 2.61-2.73
Cu (0.2214, 0.7786, 0.4213)  5 Cu 2.58-2.75, 5 Au 2.61-2.73
Cu (0.7786, 0.2214, 0.5787)  5 Cu 2.58-2.75, 5 Au 2.61-2.73
Cu (0.7786, 0.2214, 0.9213)  5 Cu 2.58-2.75, 5 Au 2.61-2.73
Cu (0.8951, 0.1049, 0.2500)  4 Cu 2.48-2.75, 4 Au 2.68
Cu (0.9071, 0.0929, 0.6025)  5 Cu 2.50-2.75, 2 Pd 2.69, 4 Au 2.75-2.77
Cu (0.9071, 0.0929, 0.8975)  5 Cu 2.50-2.75, 2 Pd 2.69, 4 Au 2.75-2.77
Cu (0.9682, 0.0318, 0.0841)  4 Cu 2.40-2.57, 2 Pd 2.64
Cu (0.9682, 0.0318, 0.4159)  4 Cu 2.40-2.57, 2 Pd 2.64
Pd (0.4810, 0.5190, 0.7500)  10 Cu 2.64-2.83, 2 Pd 2.75
Pd (0.5190, 0.4810, 0.2500)  10 Cu 2.64-2.83, 2 Pd 2.75
Au (0.3285, 0.6715, 0.7500)  8 Cu 2.68-2.75, 2 Au 2.75
Au (0.3520, 0.6480, 0.0735)  9 Cu 2.61-2.77, 2 Au 2.75
Au (0.3520, 0.6480, 0.4265)  9 Cu 2.61-2.77, 2 Au 2.75
Au (0.6480, 0.3520, 0.5735)  9 Cu 2.61-2.77, 2 Au 2.75
Au (0.6480, 0.3520, 0.9265)  9 Cu 2.61-2.77, 2 Au 2.75
Au (0.6715, 0.3285, 0.2500)  8 Cu 2.68-2.75, 2 Au 2.75

Q:
DFT (PBE) results for Cu7PdAu3 after structural relaxation.

- calculated volume (Å³/atom) = 15.6
- crystal system = monoclinic
- space-group type = No. 12

Lattice parameters (Å, degrees): 6.4555 6.4555 4.7309 109.64 109.64 92.77
Closest atoms and distances in Å follow each position.
Sites, in units of the cell vectors:
Cu (0.0000, 0.0000, 0.0000)  2 Pd 2.37, 2 Au 2.49
Cu (0.0824, 0.5856, 0.3379)  4 Cu 2.58-2.79, 4 Au 2.61-2.74, 1 Pd 2.66
Cu (0.3219, 0.3219, 0.8447)  1 Pd 2.51, 4 Au 2.59-2.77, 3 Cu 2.63-2.77
Cu (0.4144, 0.9176, 0.6621)  4 Cu 2.58-2.79, 4 Au 2.61-2.74, 1 Pd 2.66
Cu (0.5856, 0.0824, 0.3379)  4 Cu 2.58-2.79, 4 Au 2.61-2.74, 1 Pd 2.66
Cu (0.6781, 0.6781, 0.1553)  1 Pd 2.51, 4 Au 2.59-2.77, 3 Cu 2.63-2.77
Cu (0.9176, 0.4144, 0.6621)  4 Cu 2.58-2.79, 4 Au 2.61-2.74, 1 Pd 2.66
Pd (0.0000, 0.0000, 0.5000)  4 Cu 2.37-2.51
Au (0.2659, 0.7341, 0.0000)  9 Cu 2.49-2.74
Au (0.5000, 0.5000, 0.5000)  8 Cu 2.68-2.77
Au (0.7341, 0.2659, 0.0000)  9 Cu 2.49-2.74

Which structure is most stable? P, by 0.123 eV/atom over the runner-up.